No. 1
Entry from the Alexandria database: CeNdPd2 after structural relaxation (PBE).

Results
E_tot   -5.939 eV per atom
Density   8.84 g cm⁻³
Offset from the most stable computed form   0.0 meV/atom
Total magnetization   0.98 μB/f.u.
Formation enthalpy at 0 K   -64 kJ per mole of atoms

Lattice parameters (Å, degrees): 3.582 3.582 7.274 90.00 90.00 90.00
Last column: magnetic moment on the atom in μB.
Positions (direct):
Pd  0.000  0.000  0.238  0.00
Pd  0.000  0.000  0.762  0.00
Nd  0.500  0.500  0.500  0.07
Ce  0.500  0.500  0.000  0.72

***

No. 2
Entry from the Alexandria database: CeNdPd after structural relaxation (PBE).

Results
E_tot   -5.575 eV per atom
Density   7.40 g cm⁻³
Offset from the most stable computed form   112.4 meV/atom
Total magnetization   0.98 μB/f.u.
Formation enthalpy at 0 K   -27 kJ per mole of atoms

Lattice parameters (Å, degrees): 3.863 5.989 8.174 100.87 90.00 108.81
Last column: magnetic moment on the atom in μB.
Positions (direct):
Nd  0.127  0.253  0.431  -0.01
Nd  0.873  0.747  0.569  -0.01
Pd  0.684  0.367  0.188  -0.02
Pd  0.316  0.633  0.812  -0.02
Ce  0.377  0.754  0.164  0.81
Ce  0.623  0.246  0.836  0.81